First-principles (PBE) data for crystalline LiSi at its relaxed geometry, as listed in Alexandria.

Cell lengths 4.5735, 2.6465, 4.7081 Å; angles 89.97, 90.00, 90.00 degrees
Fractional coordinates of all 4 atoms:
Si 0.5000 0.3747 0.2532
Si 0.0000 0.3753 0.4968
Li 0.0000 0.8765 0.0094
Li 0.5000 0.8735 0.7406

Calculated values
crystal system	orthorhombic
calculated total energy	-3.791	eV per atom
E_form (uncorrected)	-0.123	eV per atom
spin magnetization	0.00	μB/atom